Here is a relaxed structure of LiWF6 from Alexandria via LeMat-Bulk. Energies are from GGA+U.

Cell: 5.165 5.165 5.092 Å, 96.58 96.58 120.89°
Atoms (fractional coordinates):
Li (0.000, 0.000, 0.000)
W (0.500, 0.500, 0.500)
F (0.594, 0.878, 0.736)
F (0.878, 0.594, 0.736)
F (0.122, 0.406, 0.264)
F (0.406, 0.122, 0.264)
F (0.261, 0.261, 0.739)
F (0.739, 0.739, 0.261)

Properties
Space group: C2/m (12)
Offset from the most stable computed form, meV/atom: 45
DOS(E_F), states/eV/cell: 0.00